(1)
# CaLaSn | Alexandria | PBE-GGA | relaxed
# V	31.11	Å³ per atom
data_CaLaSn
_cell_length_a 4.325
_cell_length_b 4.325
_cell_length_c 9.979
_cell_angle_alpha 90.00
_cell_angle_beta 90.00
_cell_angle_gamma 90.00
_space_group_name_H-M_alt 'I 4 m m'
_space_group_IT_number 107
_space_group_name_Hall 'I 4 -2'
loop_
_atom_site_label
_atom_site_type_symbol
_atom_site_fract_x
_atom_site_fract_y
_atom_site_fract_z
Ca1 Ca 0.000 0.000 0.000
La1 La 0.000 0.000 0.678
Sn1 Sn 0.000 0.000 0.339



(2)
# CaLaSn | Alexandria | PBE-GGA | relaxed
# V	33.11	Å³ per atom
data_CaLaSn
_cell_length_a 4.721
_cell_length_b 4.771
_cell_length_c 8.823
_cell_angle_alpha 90.00
_cell_angle_beta 91.02
_cell_angle_gamma 90.00
_space_group_name_H-M_alt 'P 1 21/m 1'
_space_group_IT_number 11
loop_
_space_group_symop_operation_xyz
'x,y,z'
'-x,-y,-z'
'-x,y+1/2,-z'
'x,-y+1/2,z'
loop_
_atom_site_label
_atom_site_type_symbol
_atom_site_fract_x
_atom_site_fract_y
_atom_site_fract_z
Ca1 Ca 0.239 0.250 0.138
La1 La 0.290 0.750 0.510
Sn1 Sn 0.235 0.250 0.768



(3)
# Ca2LaTiSn | Alexandria | PBE-GGA | relaxed
# V	33.11	Å³ per atom
data_Ca2LaTiSn
_cell_length_a 5.832
_cell_length_b 5.832
_cell_length_c 4.868
_cell_angle_alpha 90.00
_cell_angle_beta 90.00
_cell_angle_gamma 90.00
_space_group_name_H-M_alt 'P 4/m m m'
_space_group_IT_number 123
_space_group_name_Hall '-P 4 2'
loop_
_atom_site_label
_atom_site_type_symbol
_atom_site_fract_x
_atom_site_fract_y
_atom_site_fract_z
Ca1 Ca 0.000 0.500 0.000
La1 La 0.000 0.000 0.000
Ti1 Ti 0.000 0.000 0.500
Sn1 Sn 0.500 0.500 0.500



(4)
# CaLaTlSn | Alexandria | PBE-GGA | relaxed
# V	30.19	Å³ per atom
# excess energy over the best structure of this formula in the dataset	0.018	eV/atom
data_CaLaTlSn
_cell_length_a 7.847
_cell_length_b 7.847
_cell_length_c 7.847
_cell_angle_alpha 90.00
_cell_angle_beta 90.00
_cell_angle_gamma 90.00
_space_group_name_H-M_alt 'F -4 3 m'
_space_group_IT_number 216
_space_group_name_Hall 'F -4 2 3'
loop_
_atom_site_label
_atom_site_type_symbol
_atom_site_fract_x
_atom_site_fract_y
_atom_site_fract_z
Ca1 Ca 0.000 0.000 0.000
La1 La 0.000 0.000 0.500
Tl1 Tl 0.250 0.250 0.250
Sn1 Sn 0.250 0.250 0.750



(5)
# CaLaTlSn | Alexandria | PBE-GGA | relaxed
# V	30.11	Å³ per atom
# excess energy over the best structure of this formula in the dataset	0.000	eV/atom
data_CaLaTlSn
_cell_length_a 4.513
_cell_length_b 5.117
_cell_length_c 5.215
_cell_angle_alpha 90.00
_cell_angle_beta 90.00
_cell_angle_gamma 90.00
_space_group_name_H-M_alt 'P m m m'
_space_group_IT_number 47
loop_
_space_group_symop_operation_xyz
'x,y,z'
'-x,-y,-z'
'-x,-y,z'
'x,y,-z'
'x,-y,-z'
'-x,y,z'
'-x,y,-z'
'x,-y,z'
loop_
_atom_site_label
_atom_site_type_symbol
_atom_site_fract_x
_atom_site_fract_y
_atom_site_fract_z
Ca1 Ca 0.000 0.000 0.000
La1 La 0.000 0.500 0.500
Tl1 Tl 0.500 0.500 0.000
Sn1 Sn 0.500 0.000 0.500



(6)
# Ca2LaZn2Sn2 | Alexandria | PBE-GGA | relaxed
# V	27.33	Å³ per atom
data_Ca2LaZn2Sn2
_cell_length_a 4.6925
_cell_length_b 4.6925
_cell_length_c 30.0956
_cell_angle_alpha 90.00
_cell_angle_beta 90.00
_cell_angle_gamma 120.00
_space_group_name_H-M_alt 'R -3 m'
_space_group_IT_number 166
_space_group_name_Hall '-R 3 2"'
loop_
_atom_site_label
_atom_site_type_symbol
_atom_site_fract_x
_atom_site_fract_y
_atom_site_fract_z
Ca1 Ca 0.0000 0.0000 0.1296
La1 La 0.0000 0.0000 0.0000
Zn1 Zn 0.0000 0.0000 0.3918
Sn1 Sn 0.0000 0.0000 0.2576



(7)
# Sr8Ca2La | Alexandria | PBE-GGA | relaxed
# V	50.27	Å³ per atom
data_Sr8Ca2La
_cell_length_a 20.888
_cell_length_b 5.978
_cell_length_c 9.198
_cell_angle_alpha 90.00
_cell_angle_beta 105.61
_cell_angle_gamma 90.00
_space_group_name_H-M_alt 'C 1 2/m 1'
_space_group_IT_number 12
loop_
_space_group_symop_operation_xyz
'x,y,z'
'-x,-y,-z'
'-x,y,-z'
'x,-y,z'
'x+1/2,y+1/2,z'
'-x+1/2,-y+1/2,-z'
'-x+1/2,y+1/2,-z'
'x+1/2,-y+1/2,z'
loop_
_atom_site_label
_atom_site_type_symbol
_atom_site_fract_x
_atom_site_fract_y
_atom_site_fract_z
Sr1 Sr 0.045 0.000 0.235
Sr2 Sr 0.093 0.500 0.950
Sr3 Sr 0.137 0.000 0.685
Sr4 Sr 0.180 0.500 0.412
Ca1 Ca 0.227 0.000 0.133
La1 La 0.000 0.500 0.500



(8)
# Sr2CaLa2 | Alexandria | PBE-GGA | relaxed
# V	44.64	Å³ per atom
# excess energy over the best structure of this formula in the dataset	0.000	eV/atom
data_Sr2CaLa2
_cell_length_a 10.347
_cell_length_b 10.347
_cell_length_c 4.170
_cell_angle_alpha 90.00
_cell_angle_beta 90.00
_cell_angle_gamma 90.00
_space_group_name_H-M_alt 'P 4/m b m'
_space_group_IT_number 127
_space_group_name_Hall '-P 4 2ab'
loop_
_atom_site_label
_atom_site_type_symbol
_atom_site_fract_x
_atom_site_fract_y
_atom_site_fract_z
Sr1 Sr 0.182 0.318 0.000
Ca1 Ca 0.000 0.000 0.500
La1 La 0.113 0.613 0.500



(9)
# Sr2Ca4La | Alexandria | PBE-GGA | relaxed
# V	44.48	Å³ per atom
data_Sr2Ca4La
_cell_length_a 6.860
_cell_length_b 3.959
_cell_length_c 22.923
_cell_angle_alpha 90.00
_cell_angle_beta 90.07
_cell_angle_gamma 90.00
_space_group_name_H-M_alt 'C 1 m 1'
_space_group_IT_number 8
loop_
_space_group_symop_operation_xyz
'x,y,z'
'x,-y,z'
'x+1/2,y+1/2,z'
'x+1/2,-y+1/2,z'
loop_
_atom_site_label
_atom_site_type_symbol
_atom_site_fract_x
_atom_site_fract_y
_atom_site_fract_z
Sr1 Sr 0.000 0.000 0.000
Sr2 Sr 0.000 0.000 0.297
Ca1 Ca 0.167 0.500 0.714
Ca2 Ca 0.169 0.500 0.444
Ca3 Ca 0.331 0.000 0.148
Ca4 Ca 0.333 0.000 0.853
La1 La 0.001 0.000 0.579



(10)
# Sr2Ca15La2 | Alexandria | PBE-GGA | relaxed
# V	45.54	Å³ per atom
data_Sr2Ca15La2
_cell_length_a 12.6135
_cell_length_b 12.6135
_cell_length_c 18.8379
_cell_angle_alpha 90.00
_cell_angle_beta 90.00
_cell_angle_gamma 120.00
_space_group_name_H-M_alt 'R -3 m'
_space_group_IT_number 166
_space_group_name_Hall '-R 3 2"'
loop_
_atom_site_label
_atom_site_type_symbol
_atom_site_fract_x
_atom_site_fract_y
_atom_site_fract_z
Sr1 Sr 0.0000 0.0000 0.1755
Ca1 Ca 0.0000 0.2947 0.5000
Ca2 Ca 0.0000 0.5000 0.0000
Ca3 Ca 0.9999 0.5000 0.3505
La1 La 0.0000 0.0000 0.4094



(11)
# Sr3Ca12La | Alexandria | PBE-GGA | relaxed
# V	43.95	Å³ per atom
data_Sr3Ca12La
_cell_length_a 5.678
_cell_length_b 5.678
_cell_length_c 21.814
_cell_angle_alpha 90.00
_cell_angle_beta 90.00
_cell_angle_gamma 90.00
_space_group_name_H-M_alt 'P 4/m m m'
_space_group_IT_number 123
_space_group_name_Hall '-P 4 2'
loop_
_atom_site_label
_atom_site_type_symbol
_atom_site_fract_x
_atom_site_fract_y
_atom_site_fract_z
Sr1 Sr 0.000 0.000 0.000
Sr2 Sr 0.000 0.000 0.257
Ca1 Ca 0.000 0.500 0.128
Ca2 Ca 0.000 0.500 0.383
Ca3 Ca 0.500 0.500 0.000
Ca4 Ca 0.500 0.500 0.255
Ca5 Ca 0.500 0.500 0.500
La1 La 0.000 0.000 0.500



Number 1: total energy -4.0298 eV/atom, total moment 0.01 μB per formula unit, energy of formation -385.8 meV/atom. Number 2: total energy -4.1890 eV/atom, total moment 0.00 μB per formula unit, energy of formation -545.0 meV/atom. Number 3: total energy -3.2761 eV/atom, total moment 0.00 μB per formula unit, energy of formation 889.6 meV/atom. Number 4: total energy -3.8760 eV/atom, total moment 0.00 μB per formula unit, energy of formation -551.5 meV/atom. Number 5: total energy -3.8936 eV/atom, total moment 0.00 μB per formula unit, energy of formation -569.1 meV/atom. Number 6: total energy -3.2254 eV/atom, total moment 0.00 μB per formula unit, energy of formation -441.9 meV/atom. Number 7: total energy -1.9718 eV/atom, total moment 1.58 μB per formula unit, energy of formation 63.2 meV/atom. Number 8: total energy -2.8101 eV/atom, total moment 0.00 μB per formula unit, energy of formation 233.9 meV/atom. Number 9: total energy -2.2804 eV/atom, total moment 0.91 μB per formula unit, energy of formation 47.8 meV/atom. Number 10: total energy -2.1554 eV/atom, total moment 0.01 μB per formula unit, energy of formation 120.5 meV/atom. Number 11: total energy -2.0889 eV/atom, total moment 1.25 μB per formula unit, energy of formation 35.6 meV/atom.